Here is a geometry-optimized BaCuAgO3 structure from the Alexandria database. Energies are from PBE.

Summary:
DOS at the Fermi energy   3.9 states/eV/f.u.
Symmetry   C2/m (12)
ΔE_f (raw)   -95 kJ/mol of atoms
Raw total energy   -59.3 eV for the cell shown

```
BaCuAgO3
1.0
-2.5951 0.3507 5.2041
-5.3672 -2.2654 0.0293
0.0613 -6.1459 3.0742
O Cu Ag Ba
6 2 2 2
Direct
0.7156 0.1801 0.8258 O
0.7208 0.7208 0.4232 O
0.2844 0.8199 0.1742 O
0.2792 0.2792 0.5768 O
0.8199 0.2844 0.1742 O
0.1801 0.7156 0.8258 O
0.0794 0.0794 0.7462 Cu
0.9206 0.9206 0.2538 Cu
0.7175 0.2825 0.5000 Ag
0.2825 0.7175 0.5000 Ag
0.3027 0.3027 0.1586 Ba
0.6973 0.6973 0.8414 Ba
```

Here is a geometry-optimized Sr2LaTl structure from the Alexandria database. Energies are from PBE.

Summary:
DOS at the Fermi energy   4.5 states/eV/f.u.
Symmetry   P2/m (10)
Raw total energy   -10.9 eV for the cell shown
Excess energy over the best structure of this formula in the dataset   0.40 eV/f.u.
Formation energy   -6 kJ/mol of atoms

```
Sr2LaTl
1.0
5.4523 0.0000 0.0000
0.0000 3.8981 0.0058
0.0000 3.0666 7.2881
Sr La Tl
2 1 1
Direct
0.0000 0.0462 0.0169 Sr
0.0000 0.4538 0.4831 Sr
0.5000 0.7500 0.7500 La
0.5000 0.2500 0.2500 Tl
```